# 1
{
  "formula": "NbAgHg",
  "functional": "PBE",
  "state": "relaxed",
  "e_form_ev_per_atom": 0.438,
  "crystal_system": "orthorhombic",
  "energy_ev_per_fu": -11.908,
  "cell": [[0.0000, 4.1083, 5.6915], [2.5852, 0.0000, 5.6915], [2.5852, 4.1083, 0.0000]],
  "species": ["Nb", "Nb", "Ag", "Ag", "Hg", "Hg"],
  "frac_coords": [[0.1650, 0.8350, 0.1650], [0.8350, 0.1650, 0.8350], [0.2500, 0.2500, 0.2500], [0.7500, 0.7500, 0.7500], [0.3768, 0.3768, 0.6232], [0.6232, 0.6232, 0.3768]]
}

***

# 2
{
  "formula": "La2ReBr",
  "functional": "PBE",
  "state": "relaxed",
  "crystal_system": "cubic",
  "relative_energy_mev_per_atom": 448.8,
  "energy_ev_per_fu": -24.253,
  "formation_energy_uncorrected_ev_per_atom": -0.07,
  "cell": [[0.0000, 3.6975, 3.6975], [3.6975, 0.0000, 3.6975], [3.6975, 3.6975, 0.0000]],
  "species": ["La", "La", "Re", "Br"],
  "frac_coords": [[0.2500, 0.2500, 0.2500], [0.7500, 0.7500, 0.7500], [0.0000, 0.0000, 0.0000], [0.5000, 0.5000, 0.5000]]
}

***

# 3
{
  "formula": "BaLiCo",
  "functional": "PBE",
  "state": "relaxed",
  "e_form_ev_per_atom": 0.217,
  "crystal_system": "monoclinic",
  "relative_energy_mev_per_atom": 0.0,
  "energy_ev_per_fu": -10.290,
  "cell": [[7.1226, -2.0334, 0.0000], [7.1226, 2.0334, 0.0000], [-1.0037, 0.0000, 5.8566]],
  "species": ["Ba", "Ba", "Li", "Li", "Co", "Co"],
  "frac_coords": [[0.1286, 0.1286, 0.3252], [0.8714, 0.8714, 0.6748], [0.3940, 0.3940, 0.1699], [0.6060, 0.6060, 0.8301], [0.2329, 0.2329, 0.9204], [0.7671, 0.7671, 0.0796]]
}

***

# 4
{
  "formula": "Dy5Er2In",
  "functional": "PBE",
  "state": "relaxed",
  "e_form_ev_per_atom": -0.114,
  "crystal_system": "tetragonal",
  "relative_energy_mev_per_atom": 0.0,
  "energy_ev_per_fu": -35.784,
  "cell": [[-2.4446, 2.4446, 9.9820], [2.4446, -2.4446, 9.9820], [2.4446, 2.4446, -9.9820]],
  "species": ["Dy", "Dy", "Dy", "Dy", "Dy", "Er", "Er", "In"],
  "frac_coords": [[0.0000, 0.0000, 0.0000], [0.1228, 0.6228, 0.5000], [0.3772, 0.8772, 0.5000], [0.6228, 0.1228, 0.5000], [0.8772, 0.3772, 0.5000], [0.2468, 0.2468, 0.0000], [0.7532, 0.7532, 0.0000], [0.5000, 0.5000, 0.0000]]
}

***

# 5
{
  "formula": "TbSb3Te6",
  "functional": "PBE",
  "state": "relaxed",
  "crystal_system": "monoclinic",
  "energy_ev_per_fu": -40.083,
  "formation_energy_uncorrected_ev_per_atom": -0.42,
  "cell": [[12.9850, 0.0000, 0.0000], [0.0000, 4.2828, 0.0000], [-4.1911, 0.0000, 12.4161]],
  "species": ["Tb", "Tb", "Sb", "Sb", "Sb", "Sb", "Sb", "Sb", "Te", "Te", "Te", "Te", "Te", "Te", "Te", "Te", "Te", "Te", "Te", "Te"],
  "frac_coords": [[0.1928, 0.2500, 0.0390], [0.8072, 0.7500, 0.9610], [0.0404, 0.7500, 0.2976], [0.3414, 0.2500, 0.4396], [0.3967, 0.7500, 0.8526], [0.6033, 0.2500, 0.1474], [0.6586, 0.7500, 0.5604], [0.9596, 0.2500, 0.7024], [0.0284, 0.7500, 0.8970], [0.1226, 0.2500, 0.4657], [0.2349, 0.2500, 0.8036], [0.2361, 0.7500, 0.2367], [0.3896, 0.7500, 0.0711], [0.4207, 0.7500, 0.6003], [0.5793, 0.2500, 0.3997], [0.6104, 0.2500, 0.9289], [0.7639, 0.2500, 0.7633], [0.7651, 0.7500, 0.1964], [0.8774, 0.7500, 0.5343], [0.9716, 0.2500, 0.1030]]
}

***

# 6
{
  "formula": "TbPmScZn",
  "functional": "PBE",
  "state": "relaxed",
  "e_form_ev_per_atom": -0.150,
  "crystal_system": "tetragonal",
  "relative_energy_mev_per_atom": 0.0,
  "energy_ev_per_fu": -17.585,
  "cell": [[3.4973, 0.0000, 0.0000], [0.0000, 3.4973, 0.0000], [0.0000, 0.0000, 8.5126]],
  "species": ["Tb", "Pm", "Sc", "Zn"],
  "frac_coords": [[0.0000, 0.0000, 0.0000], [0.5000, 0.5000, 0.3127], [0.0000, 0.0000, 0.5984], [0.5000, 0.5000, 0.7722]]
}

***

# 7
{
  "formula": "Tm2AlNi2",
  "functional": "PBE",
  "state": "relaxed",
  "e_form_ev_per_atom": -0.588,
  "crystal_system": "orthorhombic",
  "energy_ev_per_fu": -27.190,
  "cell": [[-2.0744, 2.6700, 4.1069], [2.0744, -2.6700, 4.1069], [2.0744, 2.6700, -4.1069]],
  "species": ["Tm", "Tm", "Al", "Ni", "Ni"],
  "frac_coords": [[0.2020, 0.2020, 0.0000], [0.7980, 0.7980, 0.0000], [0.5000, 0.0000, 0.5000], [0.2337, 0.5000, 0.7337], [0.7663, 0.5000, 0.2663]]
}

***

# 8
{
  "formula": "Ca3As4",
  "functional": "PBE",
  "state": "relaxed",
  "e_form_ev_per_atom": -0.433,
  "crystal_system": "hexagonal",
  "energy_ev_per_fu": -27.635,
  "cell": [[6.9922, 0.0000, 0.0000], [-3.4961, 6.0554, 0.0000], [0.0000, 0.0000, 4.6277]],
  "species": ["Ca", "Ca", "Ca", "As", "As", "As", "As"],
  "frac_coords": [[0.0000, 0.5000, 0.0000], [0.5000, 0.0000, 0.0000], [0.5000, 0.5000, 0.0000], [0.0000, 0.0000, 0.2452], [0.0000, 0.0000, 0.7548], [0.3333, 0.6667, 0.5000], [0.6667, 0.3333, 0.5000]]
}

***

# 9
{
  "formula": "Y6BiSe3S2",
  "functional": "PBE",
  "state": "relaxed",
  "crystal_system": "monoclinic",
  "energy_ev_per_fu": -81.291,
  "formation_energy_uncorrected_ev_per_atom": -1.66,
  "cell": [[8.9510, -2.0490, 0.0000], [8.9510, 2.0490, 0.0000], [-1.9341, 0.0000, 8.0270]],
  "species": ["Y", "Y", "Y", "Y", "Y", "Y", "Bi", "Se", "Se", "Se", "S", "S"],
  "frac_coords": [[0.0111, 0.0111, 0.2730], [0.3249, 0.3249, 0.8870], [0.3280, 0.3280, 0.4275], [0.6720, 0.6720, 0.5725], [0.6751, 0.6751, 0.1130], [0.9889, 0.9889, 0.7270], [0.5000, 0.5000, 0.0000], [0.1616, 0.1616, 0.8349], [0.5000, 0.5000, 0.5000], [0.8384, 0.8384, 0.1651], [0.1698, 0.1698, 0.3400], [0.8302, 0.8302, 0.6600]]
}

***

# 10
{
  "formula": "Tc2MoAs",
  "functional": "PBE",
  "state": "relaxed",
  "e_form_ev_per_atom": 0.294,
  "crystal_system": "orthorhombic",
  "energy_ev_per_fu": -35.038,
  "cell": [[1.5216, -2.3594, 0.0000], [1.5216, 2.3594, 0.0000], [0.0000, 0.0000, 8.5753]],
  "species": ["Tc", "Tc", "Mo", "As"],
  "frac_coords": [[0.0000, 0.0000, 0.2456], [0.0000, 0.0000, 0.7544], [0.5000, 0.5000, 0.5000], [0.5000, 0.5000, 0.0000]]
}

***

# 11
{
  "formula": "KTe2O",
  "functional": "PBE",
  "state": "relaxed",
  "crystal_system": "trigonal",
  "energy_ev_per_fu": -11.327,
  "formation_energy_uncorrected_ev_per_atom": 0.25,
  "cell": [[1.7301, 0.9989, 10.0070], [-1.7301, 0.9989, 10.0070], [0.0000, -1.9977, 10.0070]],
  "species": ["K", "Te", "Te", "O"],
  "frac_coords": [[0.0000, 0.0000, 0.0000], [0.1102, 0.1102, 0.1102], [0.8898, 0.8898, 0.8898], [0.5000, 0.5000, 0.5000]]
}

***

# 12
{
  "formula": "CsRbWSe4",
  "functional": "PBE",
  "state": "relaxed",
  "crystal_system": "monoclinic",
  "energy_ev_per_fu": -34.824,
  "formation_energy_uncorrected_ev_per_atom": -0.87,
  "cell": [[7.1820, 0.0000, 0.0000], [0.0000, 7.4638, 0.0000], [-3.5291, 0.0000, 9.9875]],
  "species": ["Cs", "Cs", "Rb", "Rb", "W", "W", "Se", "Se", "Se", "Se", "Se", "Se", "Se", "Se"],
  "frac_coords": [[0.2412, 0.2500, 0.3984], [0.7588, 0.7500, 0.6016], [0.3104, 0.7500, 0.0193], [0.6896, 0.2500, 0.9807], [0.1127, 0.2500, 0.7799], [0.8873, 0.7500, 0.2201], [0.1938, 0.2500, 0.0139], [0.2304, 0.7500, 0.3268], [0.2503, 0.5025, 0.7146], [0.2503, 0.9975, 0.7146], [0.7497, 0.0025, 0.2854], [0.7497, 0.4975, 0.2854], [0.7696, 0.2500, 0.6732], [0.8062, 0.7500, 0.9861]]
}